First-principles (PBE-GGA) data for a relaxed structure of TiIn, as listed in Alexandria.

DFT total energy (eV for the cell shown): -86.1
Density of states at the Fermi level (states/eV/atom): 1.14
Density (kg/m³): 6846

Cell: 5.281 5.970 10.011 Å, 90.00 90.00 90.00°
Space group P2_12_12_1 (No. 19)
One atom of each set of equivalent atoms:
Ti: 0.018 0.123 0.242
Ti: 0.178 0.356 0.517
In: 0.027 0.605 0.766
In: 0.180 0.876 0.483